## one
This record from the Alexandria database describes an optimized crystal structure of Tb4B2Cl5. The functional is PBE.

Summary:
volume: 27.23 Å³/atom
mass density: 4.63 g/cm3

Geometry as extended XYZ:
```
11
Lattice="-0.8566 3.6892 -0.1656 -7.3156 -1.6177 1.8029 3.2304 -0.7533 9.9014" Properties=species:S:1:pos:R:3 pbc="T T T"
Tb -3.6296 1.2818 3.9402
Tb -5.1677 -1.1349 1.4478
Tb -1.3122 0.0363 7.5986
Tb 0.2259 2.4531 10.0910
B -3.8758 1.1189 1.5831
B -1.0660 0.1992 9.9557
Cl -5.0807 -0.9853 4.3318
Cl 0.1389 2.3035 7.2069
Cl -1.3495 -0.1108 4.5124
Cl -0.4283 1.8446 -0.0828
Cl -3.5923 1.4290 7.0264
```

## two
This record from the Alexandria database describes an optimized crystal structure of Tb4B2Cl5. The functional is PBE.

Summary:
volume: 24.81 Å³/atom
mass density: 5.08 g/cm3

Geometry as extended XYZ:
```
11
Lattice="3.7712 0.0000 -0.6504 -0.4854 7.0701 -2.8148 -0.1691 -0.0315 10.2785" Properties=species:S:1:pos:R:3 pbc="T T T"
Tb -0.1397 2.0346 -0.8101
Tb 2.1291 4.6909 1.0868
Tb -0.3457 5.0354 -2.0048
Tb 0.9876 2.3477 5.7265
B 1.3499 3.2092 7.8277
B 1.7667 3.8295 -1.0144
Cl 2.9879 0.5142 6.0665
Cl 2.7392 4.1356 4.6247
Cl 0.3774 2.9031 2.1886
Cl 0.1288 6.5244 0.7468
Cl 1.8856 0.0000 -0.3252
```

On energetic grounds, one is preferred over the next structure by 2.3 kJ/mol of atoms.